Entry 1:
{"formula": "NbReCl2", "functional": "PBE", "state": "relaxed", "dft_energy_ev_per_cell": -25.3, "relative_energy_mev_per_atom": 0, "formation_energy_uncorrected_ev_per_atom": 0.2201, "magmom_total_mub_per_cell": 0.000, "lattice": [[1.741, 0.000, 8.429], [-0.870, 1.507, 8.429], [-0.870, -1.507, 8.429]], "species": ["Re", "Cl", "Cl", "Nb"], "fractional_positions": [[0.000, 0.000, 0.000], [0.907, 0.907, 0.907], [0.093, 0.093, 0.093], [0.500, 0.500, 0.500]]}

---

Entry 2:
{"formula": "Nb2ReCl", "functional": "PBE", "state": "relaxed", "dft_energy_ev_per_cell": -32.2, "relative_energy_mev_per_atom": 0, "formation_energy_uncorrected_ev_per_atom": 0.5583, "magmom_total_mub_per_cell": 0.000, "lattice": [[-3.194, -0.993, 3.123], [-4.168, 1.862, -0.318], [-3.587, -2.601, -1.143]], "species": ["Cl", "Nb", "Nb", "Re"], "fractional_positions": [[0.000, 0.000, 0.000], [0.250, 0.250, 0.250], [0.750, 0.750, 0.750], [0.500, 0.500, 0.500]]}

---

Entry 3:
{"formula": "NbReSCl2", "functional": "PBE", "state": "relaxed", "dft_energy_ev_per_cell": -26.3, "relative_energy_mev_per_atom": 110, "formation_energy_uncorrected_ev_per_atom": 0.8108, "magmom_total_mub_per_cell": 3.506, "lattice": [[-4.842, -0.915, 0.159], [0.927, -4.720, 1.081], [-0.043, 0.989, 4.356]], "species": ["Cl", "Cl", "Re", "S", "Nb"], "fractional_positions": [[0.500, 0.000, 0.000], [0.000, 0.500, 0.000], [0.000, 0.000, 0.000], [0.000, 0.000, 0.500], [0.500, 0.500, 0.500]]}

---

Entry 4:
{"formula": "NbReS2Cl", "functional": "PBE", "state": "relaxed", "dft_energy_ev_per_cell": -29.1, "relative_energy_mev_per_atom": 0, "formation_energy_uncorrected_ev_per_atom": 0.7091, "magmom_total_mub_per_cell": 5.693, "lattice": [[-0.522, 4.381, -2.032], [-2.685, 1.436, 3.785], [4.018, 1.531, 2.270]], "species": ["S", "S", "Cl", "Nb", "Re"], "fractional_positions": [[0.500, 0.000, 0.000], [0.000, 0.500, 0.000], [0.000, 0.000, 0.500], [0.000, 0.000, 0.000], [0.500, 0.500, 0.500]]}

---

Entry 5:
{"formula": "NbReS2Cl", "functional": "PBE", "state": "relaxed", "dft_energy_ev_per_cell": -29.1, "relative_energy_mev_per_atom": 3, "formation_energy_uncorrected_ev_per_atom": 0.7116, "magmom_total_mub_per_cell": 3.821, "lattice": [[4.580, 0.000, 0.000], [0.000, 4.580, 0.000], [0.000, 0.000, 4.939]], "species": ["S", "S", "Re", "Nb", "Cl"], "fractional_positions": [[0.500, 0.000, 0.000], [0.000, 0.500, 0.000], [0.000, 0.000, 0.000], [0.500, 0.500, 0.500], [0.000, 0.000, 0.500]]}

---

Entry 6:
{"formula": "NbReSCl2", "functional": "PBE", "state": "relaxed", "dft_energy_ev_per_cell": -26.8, "relative_energy_mev_per_atom": 0, "formation_energy_uncorrected_ev_per_atom": 0.7007, "magmom_total_mub_per_cell": 6.386, "lattice": [[4.968, 0.000, 0.000], [0.000, 4.968, 0.000], [0.000, 0.000, 4.847]], "species": ["Nb", "Re", "Cl", "Cl", "S"], "fractional_positions": [[0.000, 0.000, 0.000], [0.500, 0.500, 0.500], [0.500, 0.000, 0.000], [0.000, 0.500, 0.000], [0.000, 0.000, 0.500]]}